No. 1
NaCa2B | PBE-GGA | optimized geometry

For the spin magnetization, the calculation gives 0.00 μB per formula unit. For the formation energy, the calculation gives 0.5190 eV per atom. The calculation puts the volume at 250 Å³/cell.

Cell: 9.4642 9.4642 7.2512 Å, 49.26 49.26 90.00°
Positions (direct):
Na (0.7500, 0.2500, 0.5000)
Na (0.0000, 0.0000, 0.0000)
Ca (0.2747, 0.6250, 0.2500)
Ca (0.8750, 0.7253, 0.7500)
Ca (0.4753, 0.1250, 0.2500)
Ca (0.3750, 0.5247, 0.7500)
B (0.2500, 0.7500, 0.5000)
B (0.5000, 0.5000, 0.0000)

No. 2
ErHfAs2 | PBE-GGA | optimized geometry

For the spin magnetization, the calculation gives 0.00 μB per formula unit. For the formation energy, the calculation gives -1.2476 eV per atom. The calculation puts the volume at 87 Å³/cell. For the excess energy over the best structure of this formula in the dataset, the calculation gives 0.000 eV/atom.

Cell: 3.9274 3.9274 6.8804 Å, 73.42 73.42 60.00°
Positions (direct):
As (0.7453, 0.7453, 0.7641)
As (0.2547, 0.2547, 0.2359)
Er (0.5000, 0.5000, 0.5000)
Hf (0.0000, 0.0000, 0.0000)

No. 3
ZnSbAs2Br | PBE-GGA | optimized geometry

For the spin magnetization, the calculation gives 0.00 μB per formula unit. The calculation puts the volume at 122 Å³/cell. For the excess energy over the best structure of this formula in the dataset, the calculation gives 0.000 eV/atom.

Cell: 4.9506 4.9506 4.9825 Å, 90.00 90.00 90.00°
Positions (direct):
Br (0.0000, 0.0000, 0.5000)
As (0.0000, 0.5000, 0.0000)
As (0.5000, 0.0000, 0.0000)
Sb (0.5000, 0.5000, 0.5000)
Zn (0.0000, 0.0000, 0.0000)

No. 4
NaGe3W | PBE-GGA | optimized geometry

For the spin magnetization, the calculation gives 0.00 μB per formula unit. For the formation energy, the calculation gives 0.1979 eV per atom. The calculation puts the volume at 121 Å³/cell. For the excess energy over the best structure of this formula in the dataset, the calculation gives 0.000 eV/atom.

Cell: 4.9526 4.9526 4.9526 Å, 90.00 90.00 90.00°
Positions (direct):
Na (0.5000, 0.5000, 0.5000)
Ge (0.5000, 0.0000, 0.0000)
Ge (0.0000, 0.5000, 0.0000)
Ge (0.0000, 0.0000, 0.5000)
W (0.0000, 0.0000, 0.0000)

No. 5
YCo2Cu2 | PBE-GGA | optimized geometry

For the spin magnetization, the calculation gives 2.05 μB per formula unit. For the formation energy, the calculation gives 0.1516 eV per atom. The calculation puts the volume at 144 Å³/cell. For the excess energy over the best structure of this formula in the dataset, the calculation gives 0.144 eV/atom.

Cell: 7.0753 7.0753 2.8756 Å, 90.00 90.00 90.00°
Positions (direct):
Co (0.6188, 0.1188, 0.0000)
Co (0.3812, 0.8812, 0.0000)
Co (0.8812, 0.6188, 0.0000)
Co (0.1188, 0.3812, 0.0000)
Cu (0.6709, 0.8291, 0.5000)
Cu (0.3291, 0.1709, 0.5000)
Cu (0.1709, 0.6709, 0.5000)
Cu (0.8291, 0.3291, 0.5000)
Y (0.0000, 0.0000, 0.0000)
Y (0.5000, 0.5000, 0.0000)

No. 6
Li2ZrCrS4 | PBE-GGA | optimized geometry

The calculation puts the uncorrected energy at -6.04 eV/atom. For the spin magnetization, the calculation gives 3.04 μB per formula unit. The calculation puts the volume at 136 Å³/cell.

Cell: 3.5954 6.1631 6.4737 Å, 108.40 90.00 90.00°
Positions (direct):
Cr (0.0000, 0.0000, 0.0000)
S (0.0000, 0.7605, 0.2440)
S (0.5000, 0.2309, 0.2337)
S (0.0000, 0.2395, 0.7560)
S (0.5000, 0.7691, 0.7663)
Zr (0.5000, 0.5000, 0.0000)
Li (0.5000, 0.0000, 0.5000)
Li (0.0000, 0.5000, 0.5000)

No. 7
KMnSb2 | PBE-GGA | optimized geometry

For the spin magnetization, the calculation gives 0.00 μB per formula unit. The calculation puts the volume at 302 Å³/cell. For the excess energy over the best structure of this formula in the dataset, the calculation gives 0.273 eV/atom.

Cell: 6.6566 6.6566 8.2805 Å, 66.30 66.30 90.00°
Positions (direct):
K (0.2500, 0.7500, 0.5000)
K (0.5000, 0.5000, 0.0000)
Mn (0.0000, 0.0000, 0.0000)
Mn (0.7500, 0.2500, 0.5000)
Sb (0.8750, 0.1233, 0.7500)
Sb (0.8733, 0.1250, 0.2500)
Sb (0.8767, 0.6250, 0.2500)
Sb (0.3750, 0.1267, 0.7500)

No. 8
V4GaMo2 | PBE-GGA | optimized geometry

For the spin magnetization, the calculation gives 0.00 μB per formula unit. For the formation energy, the calculation gives 1.0786 eV per atom. The calculation puts the volume at 121 Å³/cell. For the excess energy over the best structure of this formula in the dataset, the calculation gives 0.911 eV/atom.

Cell: 4.4267 4.4267 6.9343 Å, 71.39 71.39 90.00°
Positions (direct):
V (0.5000, 0.0000, 0.0000)
V (0.8042, 0.8042, 0.3916)
V (0.1958, 0.1958, 0.6084)
V (0.0000, 0.5000, 0.0000)
Ga (0.0000, 0.0000, 0.0000)
Mo (0.3782, 0.3782, 0.2436)
Mo (0.6218, 0.6218, 0.7564)